12
Lattice="4.3949 0.0000 0.0000 0.0000 4.3949 0.0000 0.0000 0.0000 13.1623" Properties=species:S:1:pos:R:3 comment="PBE-GGA Hf9In2Ga, optimized geometry" ef_ev_per_atom=-0.17 spacegroup="No. 123" magmom_total_mub_per_atom=0.000 vol_a3_per_cell=254.2 pbc="T T T"
Hf 0.0000 0.0000 0.0000
Hf 0.0000 0.0000 4.3458
Hf 0.0000 0.0000 8.8165
Hf 0.0000 2.1974 2.1081
Hf 0.0000 2.1974 6.5811
Hf 0.0000 2.1974 11.0542
Hf 2.1974 0.0000 2.1081
Hf 2.1974 0.0000 6.5811
Hf 2.1974 0.0000 11.0542
In 2.1974 2.1974 4.3514
In 2.1974 2.1974 8.8108
Ga 2.1974 2.1974 0.0000

16
Lattice="-3.6434 3.6434 6.1844 3.6434 -3.6434 6.1844 3.6434 3.6434 -6.1844" Properties=species:S:1:pos:R:3 comment="PBE-GGA Hf5InGa2, optimized geometry" ef_ev_per_atom=-0.30 spacegroup="No. 140" magmom_total_mub_per_atom=0.000 vol_a3_per_cell=328.4 pbc="T T T"
Hf 0.0000 0.0000 0.0000
Hf 4.7697 1.1263 -1.8618
Hf 1.1263 2.5171 -1.8618
Hf 4.7697 1.1263 1.8618
Hf 1.1263 2.5171 1.8618
Hf 0.0000 0.0000 6.1844
Hf 2.5171 1.1263 4.3225
Hf -1.1263 2.5171 4.3225
Hf 2.5171 1.1263 8.0462
Hf -1.1263 2.5171 8.0462
In 0.0000 0.0000 3.0922
In 0.0000 0.0000 9.2765
Ga 2.6146 1.0288 0.0000
Ga 2.6146 -1.0288 6.1844
Ga 1.0288 4.6722 0.0000
Ga 1.0288 2.6146 6.1844